Crystalline NaCaLa3 at its relaxed geometry. Source: the Alexandria database, functional PBE-GGA.

Unit cell a=6.0503 b=6.0503 c=6.0503 alpha=90.00 beta=90.00 gamma=90.00
Last column: nearest neighbours and their distance in Å.
Space group Pm-3m (No. 221)
Asymmetric unit:
Na 0.0000 0.0000 0.0000 x1  12 La 4.28
Ca 0.5000 0.5000 0.5000 x1  6 La 3.03
La 0.0000 0.5000 0.5000 x3  2 Ca 3.03

**Formation energy**: 739 meV/atom
**Energy relative to the lowest polymorph listed for this composition**: 117.5 meV/atom
**Density of states at the Fermi level**: 3.546 states/eV/f.u.

Crystalline NaCa2La at its relaxed geometry. Source: the Alexandria database, functional PBE-GGA.

Unit cell a=8.5651 b=8.5651 c=8.5651 alpha=90.00 beta=90.00 gamma=90.00
Last column: nearest neighbours and their distance in Å.
Space group Fm-3m (No. 225)
Asymmetric unit:
Na 0.0000 0.0000 0.0000 x4  8 Ca 3.71
Ca 0.2500 0.2500 0.2500 x8  4 La 3.71, 4 Na 3.71
La 0.0000 0.0000 0.5000 x4  8 Ca 3.71

**Formation energy**: 222 meV/atom
**Energy relative to the lowest polymorph listed for this composition**: 154.3 meV/atom
**Density of states at the Fermi level**: 4.644 states/eV/f.u.

Crystalline NaCaLa3 at its relaxed geometry. Source: the Alexandria database, functional PBE-GGA.

Unit cell a=5.9344 b=5.9344 c=5.9344 alpha=90.00 beta=90.00 gamma=90.00
Last column: nearest neighbours and their distance in Å.
Space group Pm-3m (No. 221)
Asymmetric unit:
Na 0.0000 0.0000 0.0000 x1  6 La 2.97
Ca 0.5000 0.5000 0.5000 x1  12 La 4.20
La 0.0000 0.0000 0.5000 x3  2 Na 2.97

**Formation energy**: 621 meV/atom
**Energy relative to the lowest polymorph listed for this composition**: 0.0 meV/atom
**Density of states at the Fermi level**: 9.463 states/eV/f.u.

Crystalline NaCa2La at its relaxed geometry. Source: the Alexandria database, functional PBE-GGA.

Unit cell a=3.8234 b=3.8234 c=37.5422 alpha=90.00 beta=90.00 gamma=120.00
Last column: nearest neighbours and their distance in Å.
Space group R3m (No. 160, hexagonal axes)
Asymmetric unit:
Na 0.0000 0.0000 0.0000 x3  6 Na 3.82, 6 Ca 3.85-3.86
Ca 0.0000 0.0000 0.4173 x3  3 La 3.80, 6 Ca 3.82, 3 Na 3.85
Ca 0.0000 0.0000 0.5824 x3  3 La 3.81, 6 Ca 3.82, 3 Na 3.86
La 0.0000 0.0000 0.1664 x3  6 Ca 3.80-3.81, 6 La 3.82

**Formation energy**: 72 meV/atom
**Energy relative to the lowest polymorph listed for this composition**: 4.4 meV/atom
**Density of states at the Fermi level**: 5.256 states/eV/f.u.

Crystalline Na3CaLa at its relaxed geometry. Source: the Alexandria database, functional PBE-GGA.

Unit cell a=6.1880 b=6.1880 c=6.1880 alpha=90.00 beta=90.00 gamma=90.00
Last column: nearest neighbours and their distance in Å.
Space group Pm-3m (No. 221)
Asymmetric unit:
Na 0.0000 0.0000 0.5000 x3  2 La 3.09
Ca 0.5000 0.5000 0.5000 x1  12 Na 4.38
La 0.0000 0.0000 0.0000 x1  6 Na 3.09

**Formation energy**: 850 meV/atom
**Density of states at the Fermi level**: 8.176 states/eV/f.u.

Crystalline NaCa2La at its relaxed geometry. Source: the Alexandria database, functional PBE-GGA.

Unit cell a=6.2200 b=6.2200 c=4.0716 alpha=90.00 beta=90.00 gamma=90.00
Last column: nearest neighbours and their distance in Å.
Space group P4/mmm (No. 123)
Asymmetric unit:
Na 0.0000 0.0000 0.0000 x1  8 Ca 3.72, 2 Na 4.07
Ca 0.0000 0.5000 0.5000 x2  4 La 3.72, 4 Na 3.72, 2 Ca 4.07
La 0.5000 0.5000 0.0000 x1  8 Ca 3.72, 2 La 4.07

**Formation energy**: 144 meV/atom
**Energy relative to the lowest polymorph listed for this composition**: 76.1 meV/atom
**Density of states at the Fermi level**: 4.610 states/eV/f.u.

Crystalline NaCa4La2 at its relaxed geometry. Source: the Alexandria database, functional PBE-GGA.

Unit cell a=3.8230 b=3.8230 c=66.9889 alpha=90.00 beta=90.00 gamma=120.00
Last column: nearest neighbours and their distance in Å.
Space group R-3m (No. 166, hexagonal axes)
Asymmetric unit:
Na 0.0000 0.0000 0.0000 x3  6 Na 3.82, 6 Ca 3.91
Ca 0.0000 0.0000 0.0961 x6  9 Ca 3.82-3.90, 3 La 3.95
Ca 0.0000 0.0000 0.3815 x6  9 Ca 3.82-3.90, 3 Na 3.91
La 0.0000 0.0000 0.1883 x6  9 La 3.64-3.82, 3 Ca 3.95

**Formation energy**: 43 meV/atom
**Density of states at the Fermi level**: 8.859 states/eV/f.u.

Crystalline NaCa2La at its relaxed geometry. Source: the Alexandria database, functional PBE-GGA.

Unit cell a=4.2601 b=4.2601 c=8.6558 alpha=90.00 beta=90.00 gamma=90.00
Last column: nearest neighbours and their distance in Å.
Space group P4/mmm (No. 123)
Asymmetric unit:
Na 0.0000 0.0000 0.0000 x1  8 Ca 3.68
Ca 0.5000 0.5000 0.2450 x2  4 Na 3.68, 4 La 3.73
La 0.0000 0.0000 0.5000 x1  8 Ca 3.73

**Formation energy**: 101 meV/atom
**Energy relative to the lowest polymorph listed for this composition**: 33.5 meV/atom
**Density of states at the Fermi level**: 3.801 states/eV/f.u.